Version one
Density functional theory data (PBE) for Tb5Nd2Tm2 after structural relaxation.

abc: 14.8955 11.8000 6.7359
angles: 90.00 90.00 90.00
With the nearest neighbours (Å) after each atom.
Space group Ima2 (No. 46)
Symmetry-distinct sites (fractional):
Tb 0.0523 0.2475 0.0000 x8  4 Tb 3.15-3.37, 1 Tm 3.28, 1 Nd 3.33
Tb 0.1434 0.7348 0.1759 x8  4 Tb 3.15-3.39, 1 Nd 3.36, 1 Tm 3.43
Tb 0.2500 0.2451 0.2020 x4  6 Tb 3.24-3.57, 1 Tm 3.40, 2 Nd 3.57
Nd 0.1266 0.0001 0.3514 x8  4 Tb 3.33-3.57, 2 Tm 3.57-3.63, 1 Nd 3.68
Tm 0.0000 0.0000 0.8122 x4  4 Tb 3.28-3.62, 2 Nd 3.63
Tm 0.2500 0.5108 0.3976 x4  4 Tb 3.40-3.65, 2 Nd 3.57, 2 Tm 3.77

Results
Mass density ... 8.0 Mg/m³



Version two
Density functional theory data (PBE) for Tb5Nd2Tm2 after structural relaxation.

abc: 6.1767 6.1788 9.4393
angles: 90.07 109.05 119.83
With the nearest neighbours (Å) after each atom.
Space group P-1 (No. 2)
Symmetry-distinct sites (fractional):
Tb 0.0000 0.0000 0.0000 x1  4 Tb 3.54-3.55, 6 Tm 3.55-3.58, 2 Nd 3.56
Tb 0.1126 0.8903 0.6696 x2  6 Tb 3.54-3.61, 2 Tm 3.54-3.55, 4 Nd 3.56-3.61
Tb 0.2223 0.7773 0.3309 x2  2 Tm 3.54-3.56, 6 Tb 3.55-3.61, 4 Nd 3.57-3.60
Nd 0.4437 0.5561 0.6696 x2  2 Tm 3.54-3.56, 9 Tb 3.56-3.61, 1 Nd 3.63
Tm 0.3328 0.6678 0.9998 x2  2 Nd 3.54-3.56, 7 Tb 3.54-3.58, 3 Tm 3.56-3.58

Results
Mass density ... 8.2 Mg/m³



Verdict on stability: version two comes out on top.



Version one
Density functional theory data (PBE) for Tb8Nd3Tm2 after structural relaxation.

abc: 7.7382 20.0035 5.6792
angles: 90.00 90.00 90.00
With the nearest neighbours (Å) after each atom.
Space group Cmmm (No. 65)
Symmetry-distinct sites (fractional):
Tb 0.0000 0.1358 0.0000 x4  4 Nd 3.53-3.93, 2 Tm 3.54, 7 Tb 3.66-3.94
Tb 0.0000 0.3268 0.0000 x4  2 Tm 3.32, 4 Tb 3.51
Tb 0.2087 0.3905 0.5000 x8  1 Nd 3.14, 3 Tb 3.23-3.51, 2 Tm 3.39-3.47
Nd 0.0000 0.0000 0.5000 x2  4 Tb 3.14
Nd 0.2080 0.5000 0.0000 x4  1 Nd 3.22, 6 Tb 3.53-3.59
Tm 0.0000 0.2413 0.5000 x4  8 Tb 3.32-3.54

Results
Mass density ... 7.7 Mg/m³



Version two
Density functional theory data (PBE) for Tb8Nd3Tm2 after structural relaxation.

abc: 6.1942 6.1944 11.3102
angles: 79.50 90.00 80.49
With the nearest neighbours (Å) after each atom.
Space group P-1 (No. 2)
Symmetry-distinct sites (fractional):
Tb 0.0755 0.0376 0.3419 x2  1 Tm 3.54, 6 Tb 3.56-3.66, 5 Nd 3.58-3.63
Tb 0.1511 0.5768 0.1884 x2  7 Tb 3.51-3.59, 3 Tm 3.54-3.57, 2 Nd 3.60-3.61
Tb 0.3080 0.6543 0.8870 x2  7 Tb 3.51-3.59, 4 Tm 3.55-3.58, 1 Nd 3.57
Tb 0.3879 0.1920 0.7354 x2  2 Tm 3.52-3.54, 6 Tb 3.57-3.58, 4 Nd 3.58-3.65
Nd 0.0000 0.5000 0.5000 x1  4 Nd 3.58-3.59, 8 Tb 3.58-3.62
Nd 0.4614 0.7310 0.5796 x2  8 Tb 3.57-3.65, 4 Nd 3.58-3.62
Tm 0.2308 0.1147 0.0375 x2  10 Tb 3.52-3.58, 2 Tm 3.56-3.57

Results
Mass density ... 8.1 Mg/m³



Verdict on stability: version two comes out on top.